First-principles (PBE-GGA) data for a relaxed structure of HfSbIr, as listed in the Open Quantum Materials Database.

Cell lengths 7.1351, 7.1351, 3.9936 Å; angles 90.00, 90.00, 120.00 degrees
Atoms (fractional coordinates):
1 Hf 0.6035 0.0000 0.0000
2 Hf 0.3965 0.3965 0.0000
3 Hf 0.0000 0.6035 0.0000
4 Ir 0.0000 0.0000 0.0000
5 Ir 0.6667 0.3333 0.5000
6 Ir 0.3333 0.6667 0.5000
7 Sb 0.2722 0.0000 0.5000
8 Sb 0.0000 0.2722 0.5000
9 Sb 0.7278 0.7278 0.5000

Output
Space-group type = P-62m
E = -8.2367 eV per atom

First-principles (PBE-GGA) data for a relaxed structure of Ho2Tl8Ir, as listed in the Open Quantum Materials Database.

Cell lengths 4.7622, 4.7622, 12.3228 Å; angles 90.00, 90.00, 90.00 degrees
Atoms (fractional coordinates):
1 Ho 0.0000 0.0000 0.1951
2 Ho 0.0000 0.0000 0.8049
3 Ir 0.0000 0.0000 0.5000
4 Tl 0.5000 0.0000 0.0000
5 Tl 0.0000 0.5000 0.0000
6 Tl 0.5000 0.5000 0.1872
7 Tl 0.5000 0.0000 0.3735
8 Tl 0.0000 0.5000 0.3735
9 Tl 0.5000 0.0000 0.6265
10 Tl 0.0000 0.5000 0.6265
11 Tl 0.5000 0.5000 0.8128

Output
Space-group type = P4/mmm
E = -3.4444 eV per atom

First-principles (PBE-GGA) data for a relaxed structure of AlZnBi, as listed in the Open Quantum Materials Database.

Cell lengths 4.8884, 4.8884, 4.8884 Å; angles 60.00, 60.00, 60.00 degrees
Atoms (fractional coordinates):
1 Al 0.2500 0.2500 0.2500
2 Bi 0.0000 0.0000 0.0000
3 Zn 0.7500 0.7500 0.7500

Output
Space-group type = F-43m
E = -2.6860 eV per atom
E above lowest polymorph = 43 kJ/mol of formula units

First-principles (PBE-GGA) data for a relaxed structure of GdErFe4, as listed in the Open Quantum Materials Database.

Cell lengths 5.1099, 5.1099, 5.1099 Å; angles 60.00, 60.00, 60.00 degrees
Site moments in Bohr magnetons follow the coordinates.
Atoms (fractional coordinates):
1 Er 0.2500 0.2500 0.2500  -0.57
2 Fe 0.6248 0.6248 0.1256  2.04
3 Fe 0.6248 0.1256 0.6248  2.12
4 Fe 0.1256 0.6248 0.6248  1.66
5 Fe 0.6248 0.6248 0.6248  2.02
6 Gd 0.0000 0.0000 0.0000  -0.48

Output
Space-group type = F-43m
Calculated formation energy = -0.073 eV/atom
E = -7.1486 eV per atom